## TmCrWO6 (PBE+U)

Data for a relaxed structure of TmCrWO6.

- Crystal system: trigonal
- E: -139.9 eV for the cell shown
- DOS at the Fermi energy: 0.0 states/eV/cell

a b c (Å): 5.3442 5.3442 8.6584
angles (deg): 90.00 90.00 120.00
With the nearest neighbours (Å) after each atom.
Space group P-31c (No. 163)
Asymmetric unit:
Tm (0.3333, 0.6667, 0.2500) [2 per cell]  6 O 2.23
Cr (0.0000, 0.0000, 0.0000) [2 per cell]  6 O 2.08
W (0.3333, 0.6667, 0.7500) [2 per cell]  6 O 1.96
O (0.0396, 0.3506, 0.6255) [12 per cell]  1 W 1.96, 1 Cr 2.08


## YTmCr2O8 (PBE+U)

Data for a relaxed structure of YTmCr2O8.

- Crystal system: tetragonal
- E: -187.0 eV for the cell shown
- DOS at the Fermi energy: 2.1 states/eV/cell

a b c (Å): 7.1736 7.1736 6.2688
angles (deg): 90.00 90.00 90.00
With the nearest neighbours (Å) after each atom.
Space group I-4m2 (No. 119)
Asymmetric unit:
Y (0.0000, 0.0000, 0.0000) [2 per cell]  8 O 2.32-2.44
Tm (0.0000, 0.5000, 0.7500) [2 per cell]  8 O 2.30-2.41
Cr (0.0000, 0.0000, 0.5000) [2 per cell]  4 O 1.73
Cr (0.0000, 0.5000, 0.2500) [2 per cell]  4 O 1.72
O (0.0000, 0.1865, 0.6738) [8 per cell]  1 Cr 1.73
O (0.0000, 0.3168, 0.0726) [8 per cell]  1 Cr 1.72


## TmZrCr2O8 (PBE+U)

Data for a relaxed structure of TmZrCr2O8.

- Crystal system: tetragonal
- E: -191.4 eV for the cell shown

a b c (Å): 7.0285 7.0285 6.2282
angles (deg): 90.00 90.00 90.00
With the nearest neighbours (Å) after each atom.
Space group I-4m2 (No. 119)
Asymmetric unit:
Tm (0.0000, 0.0000, 0.0000) [2 per cell]  8 O 2.26-2.41
Zr (0.0000, 0.5000, 0.7500) [2 per cell]  8 O 2.24-2.25
Cr (0.0000, 0.0000, 0.5000) [2 per cell]  4 O 1.72
Cr (0.0000, 0.5000, 0.2500) [2 per cell]  4 O 1.79
O (0.0000, 0.1885, 0.6769) [8 per cell]  1 Cr 1.72
O (0.0000, 0.3184, 0.0485) [8 per cell]  1 Cr 1.79